# LaCoTc2 (GGA-PBE, optimized geometry)
data_LaCoTc2
_space_group_name_H-M_alt 'P 1'
_space_group_IT_number 1
_cell_length_a 5.383
_cell_length_b 5.383
_cell_length_c 2.837
_cell_angle_alpha 90.00
_cell_angle_beta 90.00
_cell_angle_gamma 122.91
loop_
_space_group_symop_operation_xyz
'x,y,z'
loop_
_atom_site_label
_atom_site_type_symbol
_atom_site_fract_x
_atom_site_fract_y
_atom_site_fract_z
Tc1 Tc 0.500 0.500 0.000
La1 La 0.000 0.500 0.500
Tc2 Tc 0.000 0.000 0.000
Co1 Co 0.500 0.000 0.500
# Polymorph energy (0 for the lowest one) in meV per atom: 549
# Volume in Å³/atom: 17.25

***

# LaCoTc2 (GGA-PBE, optimized geometry)
data_LaCoTc2
_space_group_name_H-M_alt 'P 1'
_space_group_IT_number 1
_cell_length_a 9.538
_cell_length_b 9.538
_cell_length_c 9.538
_cell_angle_alpha 17.40
_cell_angle_beta 17.40
_cell_angle_gamma 17.40
loop_
_space_group_symop_operation_xyz
'x,y,z'
loop_
_atom_site_label
_atom_site_type_symbol
_atom_site_fract_x
_atom_site_fract_y
_atom_site_fract_z
Co1 Co 0.511 0.511 0.511
La1 La 0.753 0.753 0.753
Tc1 Tc 0.248 0.248 0.248
Tc2 Tc 0.987 0.987 0.987
# Polymorph energy (0 for the lowest one) in meV per atom: 435
# Volume in Å³/atom: 16.94

***

# LaCoTc2 (GGA-PBE, optimized geometry)
data_LaCoTc2
_space_group_name_H-M_alt 'P 1'
_space_group_IT_number 1
_cell_length_a 4.557
_cell_length_b 4.557
_cell_length_c 4.557
_cell_angle_alpha 60.00
_cell_angle_beta 60.00
_cell_angle_gamma 60.00
loop_
_space_group_symop_operation_xyz
'x,y,z'
loop_
_atom_site_label
_atom_site_type_symbol
_atom_site_fract_x
_atom_site_fract_y
_atom_site_fract_z
Tc1 Tc 0.250 0.250 0.250
La1 La 0.500 0.500 0.500
Tc2 Tc 0.750 0.750 0.750
Co1 Co 0.000 0.000 0.000
# Polymorph energy (0 for the lowest one) in meV per atom: 452
# Volume in Å³/atom: 16.73

***

Q: Which formula does entry 3 have?
A: LaCoTc2

***

Q: Which of these has the lowest polymorph energy (0 for the lowest one)?
A: number 2

***

Q: What is the polymorph energy (0 for the lowest one) in the first record?
A: 549 meV per atom